No. 1
# PmNdPtAu GGA-PBE optimized geometry
data_PmNdPtAu
_chemical_formula_sum 'Pm1 Nd1 Pt1 Au1'
_cell_length_a 5.1648
_cell_length_b 5.1648
_cell_length_c 5.1648
_cell_angle_alpha 60.00
_cell_angle_beta 60.00
_cell_angle_gamma 60.00
_space_group_name_H-M_alt 'P 1'
_space_group_IT_number 1
_space_group_name_Hall 'P 1'
loop_
_atom_site_label
_atom_site_fract_x
_atom_site_fract_y
_atom_site_fract_z
Nd1 0.0000 0.0000 0.0000
Au1 0.2500 0.2500 0.2500
Pt1 0.7500 0.7500 0.7500
Pm1 0.5000 0.5000 0.5000
# - Total energy: -22.49 eV for the cell shown
# - Spin magnetization: 0.0 μB per formula unit
# - Symmetry: F-43m
# - Energy relative to the lowest polymorph listed for this composition: 0.0715 eV/atom

No. 2
# PmNdPtAu GGA-PBE optimized geometry
data_PmNdPtAu
_chemical_formula_sum 'Pm1 Nd1 Pt1 Au1'
_cell_length_a 3.9171
_cell_length_b 4.6814
_cell_length_c 5.8374
_cell_angle_alpha 90.00
_cell_angle_beta 109.60
_cell_angle_gamma 90.00
_space_group_name_H-M_alt 'P 1'
_space_group_IT_number 1
_space_group_name_Hall 'P 1'
loop_
_atom_site_label
_atom_site_fract_x
_atom_site_fract_y
_atom_site_fract_z
Pm1 0.8637 0.5000 0.7274
Nd1 0.1388 0.0000 0.2776
Pt1 0.4117 0.0000 0.8233
Au1 0.5858 0.5000 0.1717
# - Total energy: -22.78 eV for the cell shown
# - Spin magnetization: 0.0 μB per formula unit
# - Symmetry: Amm2
# - Energy relative to the lowest polymorph listed for this composition: 0.0000 eV/atom

No. 3
# PmNdRhAu GGA-PBE optimized geometry
data_PmNdRhAu
_chemical_formula_sum 'Pm1 Nd1 Rh1 Au1'
_cell_length_a 3.9467
_cell_length_b 4.6100
_cell_length_c 5.7413
_cell_angle_alpha 90.00
_cell_angle_beta 110.10
_cell_angle_gamma 90.00
_space_group_name_H-M_alt 'P 1'
_space_group_IT_number 1
_space_group_name_Hall 'P 1'
loop_
_atom_site_label
_atom_site_fract_x
_atom_site_fract_y
_atom_site_fract_z
Pm1 0.8648 0.5000 0.7297
Nd1 0.1445 0.0000 0.2889
Rh1 0.4085 0.0000 0.8170
Au1 0.5822 0.5000 0.1644
# - Total energy: -23.21 eV for the cell shown
# - Spin magnetization: 0.0 μB per formula unit
# - Symmetry: Amm2
# - Energy relative to the lowest polymorph listed for this composition: 0.0000 eV/atom

No. 4
# PmNdRhAu GGA-PBE optimized geometry
data_PmNdRhAu
_chemical_formula_sum 'Pm1 Nd1 Rh1 Au1'
_cell_length_a 5.1203
_cell_length_b 5.1203
_cell_length_c 5.1203
_cell_angle_alpha 60.00
_cell_angle_beta 60.00
_cell_angle_gamma 60.00
_space_group_name_H-M_alt 'P 1'
_space_group_IT_number 1
_space_group_name_Hall 'P 1'
loop_
_atom_site_label
_atom_site_fract_x
_atom_site_fract_y
_atom_site_fract_z
Nd1 0.2500 0.2500 0.2500
Au1 0.0000 0.0000 0.0000
Rh1 0.5000 0.5000 0.5000
Pm1 0.7500 0.7500 0.7500
# - Total energy: -22.94 eV for the cell shown
# - Spin magnetization: 0.0 μB per formula unit
# - Symmetry: F-43m
# - Energy relative to the lowest polymorph listed for this composition: 0.0676 eV/atom

No. 5
# PmNdSbAu GGA-PBE optimized geometry
data_PmNdSbAu
_chemical_formula_sum 'Pm1 Nd1 Sb1 Au1'
_cell_length_a 5.3529
_cell_length_b 5.3529
_cell_length_c 5.3529
_cell_angle_alpha 60.00
_cell_angle_beta 60.00
_cell_angle_gamma 60.00
_space_group_name_H-M_alt 'P 1'
_space_group_IT_number 1
_space_group_name_Hall 'P 1'
loop_
_atom_site_label
_atom_site_fract_x
_atom_site_fract_y
_atom_site_fract_z
Nd1 0.2500 0.2500 0.2500
Au1 0.0000 0.0000 0.0000
Sb1 0.5000 0.5000 0.5000
Pm1 0.7500 0.7500 0.7500
# - Total energy: -20.17 eV for the cell shown
# - Formation energy from raw total energies: -0.8117 eV per atom
# - Spin magnetization: 0.0 μB per formula unit
# - Symmetry: F-43m

No. 6
# PmNdScAu GGA-PBE optimized geometry
data_PmNdScAu
_chemical_formula_sum 'Pm1 Nd1 Sc1 Au1'
_cell_length_a 5.3282
_cell_length_b 5.3282
_cell_length_c 5.3282
_cell_angle_alpha 60.00
_cell_angle_beta 60.00
_cell_angle_gamma 60.00
_space_group_name_H-M_alt 'P 1'
_space_group_IT_number 1
_space_group_name_Hall 'P 1'
loop_
_atom_site_label
_atom_site_fract_x
_atom_site_fract_y
_atom_site_fract_z
Sc1 0.2500 0.2500 0.2500
Nd1 0.0000 0.0000 0.0000
Au1 0.7500 0.7500 0.7500
Pm1 0.5000 0.5000 0.5000
# - Total energy: -19.81 eV for the cell shown
# - Spin magnetization: 0.0 μB per formula unit
# - Symmetry: F-43m

No. 7
# PmNdSnAu GGA-PBE optimized geometry
data_PmNdSnAu
_chemical_formula_sum 'Pm1 Nd1 Sn1 Au1'
_cell_length_a 5.3693
_cell_length_b 5.3693
_cell_length_c 5.3693
_cell_angle_alpha 60.00
_cell_angle_beta 60.00
_cell_angle_gamma 60.00
_space_group_name_H-M_alt 'P 1'
_space_group_IT_number 1
_space_group_name_Hall 'P 1'
loop_
_atom_site_label
_atom_site_fract_x
_atom_site_fract_y
_atom_site_fract_z
Nd1 0.2500 0.2500 0.2500
Au1 0.5000 0.5000 0.5000
Sn1 0.0000 0.0000 0.0000
Pm1 0.7500 0.7500 0.7500
# - Total energy: -19.66 eV for the cell shown
# - Spin magnetization: 0.8 μB per formula unit
# - Symmetry: F-43m

No. 8
# PmNdZnAu GGA-PBE optimized geometry
data_PmNdZnAu
_chemical_formula_sum 'Pm1 Nd1 Zn1 Au1'
_cell_length_a 3.7251
_cell_length_b 3.7251
_cell_length_c 7.2141
_cell_angle_alpha 90.00
_cell_angle_beta 90.00
_cell_angle_gamma 90.00
_space_group_name_H-M_alt 'P 1'
_space_group_IT_number 1
_space_group_name_Hall 'P 1'
loop_
_atom_site_label
_atom_site_fract_x
_atom_site_fract_y
_atom_site_fract_z
Pm1 0.0000 0.0000 0.3591
Nd1 0.0000 0.0000 0.8535
Zn1 0.5000 0.5000 0.6034
Au1 0.5000 0.5000 0.1119
# - Total energy: -16.26 eV for the cell shown
# - Spin magnetization: 0.0 μB per formula unit
# - Symmetry: P4mm
# - Energy relative to the lowest polymorph listed for this composition: 0.0000 eV/atom